Entry from Alexandria: a relaxed TbGdMgGe crystal (GGA-PBE).

Lattice parameters (Å, degrees): 5.1663 5.1663 5.1663 60.00 60.00 60.00
Fractional coordinates of all 4 atoms:
Tb 0.0000 0.0000 0.0000
Gd 0.5000 0.5000 0.5000
Mg 0.2500 0.2500 0.2500
Ge 0.7500 0.7500 0.7500

**DFT formation energy**: -369 meV per atom

---

Entry from Alexandria: a relaxed GdYMgGe crystal (GGA-PBE).

Lattice parameters (Å, degrees): 5.1627 5.1627 5.1627 60.00 60.00 60.00
Fractional coordinates of all 4 atoms:
Gd 0.0000 0.0000 0.0000
Y 0.5000 0.5000 0.5000
Mg 0.2500 0.2500 0.2500
Ge 0.7500 0.7500 0.7500

**DFT formation energy**: -377 meV per atom

---

Entry from Alexandria: a relaxed GdMgZnGe crystal (GGA-PBE).

Lattice parameters (Å, degrees): 4.9077 4.9077 4.9077 60.00 60.00 60.00
Fractional coordinates of all 4 atoms:
Gd 0.0000 0.0000 0.0000
Mg 0.5000 0.5000 0.5000
Zn 0.2500 0.2500 0.2500
Ge 0.7500 0.7500 0.7500

**DFT formation energy**: -361 meV per atom

---

Entry from Alexandria: a relaxed GdMnGe2 crystal (GGA-PBE).

Lattice parameters (Å, degrees): 5.7351 5.7351 5.7351 42.32 42.32 42.32
Fractional coordinates of all 4 atoms:
Gd 0.0000 0.0000 0.0000
Mn 0.5000 0.5000 0.5000
Ge 0.2226 0.2226 0.2226
Ge 0.7774 0.7774 0.7774

**DFT formation energy**: -462 meV per atom

---

Entry from Alexandria: a relaxed Gd3Ge5N12 crystal (GGA-PBE).

Lattice parameters (Å, degrees): 10.8782 10.8782 10.8782 109.47 109.47 109.47
Fractional coordinates of all 80 atoms:
Gd 0.1250 0.2500 0.3750
Gd 0.1250 0.3750 0.7500
Gd 0.2500 0.3750 0.1250
Gd 0.2500 0.8750 0.6250
Gd 0.3750 0.1250 0.2500
Gd 0.3750 0.7500 0.1250
Gd 0.6250 0.2500 0.8750
Gd 0.6250 0.8750 0.7500
Gd 0.7500 0.1250 0.3750
Gd 0.7500 0.6250 0.8750
Gd 0.8750 0.6250 0.2500
Gd 0.8750 0.7500 0.6250
Ge 0.0000 0.0000 0.0000
Ge 0.0000 0.0000 0.5000
Ge 0.0000 0.5000 0.0000
Ge 0.0000 0.5000 0.5000
Ge 0.1250 0.7500 0.8750
Ge 0.1250 0.8750 0.2500
Ge 0.2500 0.1250 0.8750
Ge 0.2500 0.6250 0.3750
Ge 0.3750 0.2500 0.6250
Ge 0.3750 0.6250 0.7500
Ge 0.5000 0.0000 0.0000
Ge 0.5000 0.0000 0.5000
Ge 0.5000 0.5000 0.0000
Ge 0.5000 0.5000 0.5000
Ge 0.6250 0.3750 0.2500
Ge 0.6250 0.7500 0.3750
Ge 0.7500 0.3750 0.6250
Ge 0.7500 0.8750 0.1250
Ge 0.8750 0.1250 0.7500
Ge 0.8750 0.2500 0.1250
N 0.0233 0.2026 0.1169
N 0.0233 0.3206 0.9064
N 0.0858 0.7026 0.6794
N 0.0858 0.8831 0.4064
N 0.0936 0.6169 0.4142
N 0.0936 0.9767 0.6794
N 0.1169 0.0233 0.2026
N 0.1169 0.5936 0.9142
N 0.1794 0.2026 0.5858
N 0.1794 0.4767 0.5936
N 0.2026 0.1169 0.0233
N 0.2026 0.5858 0.1794
N 0.2974 0.3206 0.9142
N 0.2974 0.4767 0.3831
N 0.3206 0.9064 0.0233
N 0.3206 0.9142 0.2974
N 0.3831 0.2974 0.4767
N 0.3831 0.5858 0.9064
N 0.4064 0.0858 0.8831
N 0.4064 0.8206 0.5233
N 0.4142 0.0936 0.6169
N 0.4142 0.8206 0.7974
N 0.4767 0.3831 0.2974
N 0.4767 0.5936 0.1794
N 0.5233 0.4064 0.8206
N 0.5233 0.6169 0.7026
N 0.5858 0.1794 0.2026
N 0.5858 0.9064 0.3831
N 0.5936 0.1794 0.4767
N 0.5936 0.9142 0.1169
N 0.6169 0.4142 0.0936
N 0.6169 0.7026 0.5233
N 0.6794 0.0858 0.7026
N 0.6794 0.0936 0.9767
N 0.7026 0.5233 0.6169
N 0.7026 0.6794 0.0858
N 0.7974 0.4142 0.8206
N 0.7974 0.8831 0.9767
N 0.8206 0.5233 0.4064
N 0.8206 0.7974 0.4142
N 0.8831 0.4064 0.0858
N 0.8831 0.9767 0.7974
N 0.9064 0.0233 0.3206
N 0.9064 0.3831 0.5858
N 0.9142 0.1169 0.5936
N 0.9142 0.2974 0.3206
N 0.9767 0.6794 0.0936
N 0.9767 0.7974 0.8831

**Uncorrected formation energy**: 37 kJ/mol of formula units

---

Entry from Alexandria: a relaxed Gd2GeN crystal (GGA-PBE).

Lattice parameters (Å, degrees): 7.4628 7.4628 7.4628 27.86 27.86 27.86
Fractional coordinates of all 4 atoms:
Gd 0.2306 0.2306 0.2306
Gd 0.7694 0.7694 0.7694
Ge 0.0000 0.0000 0.0000
N 0.5000 0.5000 0.5000

**Uncorrected formation energy**: -419 kJ/mol of formula units

---

Entry from Alexandria: a relaxed NaGdGe2 crystal (GGA-PBE).

Lattice parameters (Å, degrees): 3.2534 3.2534 8.6814 90.00 90.00 90.00
Fractional coordinates of all 4 atoms:
Na 0.0000 0.0000 0.0000
Gd 0.0000 0.0000 0.5000
Ge 0.5000 0.5000 0.2573
Ge 0.5000 0.5000 0.7427

**DFT formation energy**: -306 meV per atom

---

Entry from Alexandria: a relaxed NaGdGe2 crystal (GGA-PBE).

Lattice parameters (Å, degrees): 4.5099 4.5099 4.2658 90.00 90.00 90.00
Fractional coordinates of all 4 atoms:
Na 0.0000 0.0000 0.0000
Gd 0.5000 0.5000 0.0000
Ge 0.0000 0.5000 0.5000
Ge 0.5000 0.0000 0.5000

**DFT formation energy**: -385 meV per atom

---

Entry from Alexandria: a relaxed NaGdGe crystal (GGA-PBE).

Lattice parameters (Å, degrees): 4.9123 4.9123 4.9123 60.00 60.00 60.00
Fractional coordinates of all 3 atoms:
Na 0.0000 0.0000 0.0000
Gd 0.5000 0.5000 0.5000
Ge 0.2500 0.2500 0.2500

**DFT formation energy**: -358 meV per atom

---

Entry from Alexandria: a relaxed NaGdGeO4 crystal (GGA-PBE).

Lattice parameters (Å, degrees): 11.6365 6.5968 5.3611 90.00 90.00 90.00
Fractional coordinates of all 28 atoms:
Na 0.0000 0.0000 0.0000
Na 0.0000 0.5000 0.0000
Na 0.5000 0.0000 0.5000
Na 0.5000 0.5000 0.5000
Gd 0.2219 0.2500 0.4978
Gd 0.2781 0.7500 0.9978
Gd 0.7219 0.2500 0.0022
Gd 0.7781 0.7500 0.5022
Ge 0.0963 0.7500 0.5565
Ge 0.4037 0.2500 0.0565
Ge 0.5963 0.7500 0.9435
Ge 0.9037 0.2500 0.4435
O 0.0447 0.2500 0.3223
O 0.1094 0.7500 0.2316
O 0.1722 0.5443 0.7080
O 0.1722 0.9557 0.7080
O 0.3278 0.0443 0.2080
O 0.3278 0.4557 0.2080
O 0.3906 0.2500 0.7316
O 0.4553 0.7500 0.8223
O 0.5447 0.2500 0.1777
O 0.6094 0.7500 0.2684
O 0.6722 0.5443 0.7920
O 0.6722 0.9557 0.7920
O 0.8278 0.0443 0.2920
O 0.8278 0.4557 0.2920
O 0.8906 0.2500 0.7684
O 0.9553 0.7500 0.6777

**Uncorrected formation energy**: -1647 kJ/mol of formula units

---

Entry from Alexandria: a relaxed NaGdGePb crystal (GGA-PBE).

Lattice parameters (Å, degrees): 5.2645 5.2645 5.2645 60.00 60.00 60.00
Fractional coordinates of all 4 atoms:
Na 0.0000 0.0000 0.0000
Gd 0.5000 0.5000 0.5000
Ge 0.7500 0.7500 0.7500
Pb 0.2500 0.2500 0.2500

**DFT formation energy**: -250 meV per atom

---

Entry from Alexandria: a relaxed NaGdGePd crystal (GGA-PBE).

Lattice parameters (Å, degrees): 4.7835 4.7835 4.7835 60.00 60.00 60.00
Fractional coordinates of all 4 atoms:
Na 0.0000 0.0000 0.0000
Gd 0.7500 0.7500 0.7500
Ge 0.2500 0.2500 0.2500
Pd 0.5000 0.5000 0.5000

**DFT formation energy**: -467 meV per atom

---

Entry from Alexandria: a relaxed NaPmGdGe crystal (GGA-PBE).

Lattice parameters (Å, degrees): 5.2415 5.2415 5.2415 60.00 60.00 60.00
Fractional coordinates of all 4 atoms:
Na 0.0000 0.0000 0.0000
Pm 0.2500 0.2500 0.2500
Gd 0.7500 0.7500 0.7500
Ge 0.5000 0.5000 0.5000

**DFT formation energy**: -244 meV per atom

---

Entry from Alexandria: a relaxed NaGd3GeS7 crystal (GGA-PBE).

Lattice parameters (Å, degrees): 10.0417 10.0417 5.8872 90.00 90.00 120.00
Fractional coordinates of all 24 atoms:
Na 0.0000 0.0000 0.0000
Na 0.0000 0.0000 0.5000
Gd 0.1336 0.3619 0.2888
Gd 0.2283 0.8664 0.2888
Gd 0.3619 0.2283 0.7888
Gd 0.6381 0.7717 0.2888
Gd 0.7717 0.1336 0.7888
Gd 0.8664 0.6381 0.7888
Ge 0.3333 0.6667 0.8700
Ge 0.6667 0.3333 0.3700
S 0.1002 0.2621 0.7457
S 0.1013 0.5818 0.0307
S 0.1619 0.8998 0.7457
S 0.2621 0.1619 0.2457
S 0.3333 0.6667 0.4938
S 0.4182 0.5195 0.0307
S 0.4805 0.8987 0.0307
S 0.5195 0.1013 0.5307
S 0.5818 0.4805 0.5307
S 0.6667 0.3333 0.9938
S 0.7379 0.8381 0.7457
S 0.8381 0.1002 0.2457
S 0.8987 0.4182 0.5307
S 0.8998 0.7379 0.2457

**Uncorrected formation energy**: -1759 kJ/mol of formula units

---

Entry from Alexandria: a relaxed NaGdTlGe crystal (GGA-PBE).

Lattice parameters (Å, degrees): 5.2161 5.2161 5.2161 60.00 60.00 60.00
Fractional coordinates of all 4 atoms:
Na 0.0000 0.0000 0.0000
Gd 0.5000 0.5000 0.5000
Tl 0.2500 0.2500 0.2500
Ge 0.7500 0.7500 0.7500

**DFT formation energy**: -257 meV per atom

---

Entry from Alexandria: a relaxed NaGdZnGe crystal (GGA-PBE).

Lattice parameters (Å, degrees): 5.0040 5.0040 5.0040 60.00 60.00 60.00
Fractional coordinates of all 4 atoms:
Na 0.0000 0.0000 0.0000
Gd 0.5000 0.5000 0.5000
Zn 0.2500 0.2500 0.2500
Ge 0.7500 0.7500 0.7500

**DFT formation energy**: -309 meV per atom

---

Entry from Alexandria: a relaxed Gd2Nb3Ge4 crystal (GGA-PBE).

Lattice parameters (Å, degrees): 7.0575 13.6372 7.2361 90.00 90.00 90.00
Fractional coordinates of all 36 atoms:
Gd 0.0025 0.0950 0.1730
Gd 0.0025 0.4050 0.1730
Gd 0.4975 0.5950 0.6730
Gd 0.4975 0.9050 0.6730
Gd 0.5025 0.0950 0.3270
Gd 0.5025 0.4050 0.3270
Gd 0.9975 0.5950 0.8270
Gd 0.9975 0.9050 0.8270
Nb 0.1598 0.6272 0.3288
Nb 0.1598 0.8728 0.3288
Nb 0.1644 0.2500 0.5127
Nb 0.3356 0.7500 0.0127
Nb 0.3402 0.1272 0.8288
Nb 0.3402 0.3728 0.8288
Nb 0.6598 0.6272 0.1712
Nb 0.6598 0.8728 0.1712
Nb 0.6644 0.2500 0.9873
Nb 0.8356 0.7500 0.4873
Nb 0.8402 0.1272 0.6712
Nb 0.8402 0.3728 0.6712
Ge 0.0392 0.2500 0.8775
Ge 0.1724 0.0425 0.5399
Ge 0.1724 0.4575 0.5399
Ge 0.1945 0.7500 0.6357
Ge 0.3055 0.2500 0.1357
Ge 0.3276 0.5425 0.0399
Ge 0.3276 0.9575 0.0399
Ge 0.4608 0.7500 0.3775
Ge 0.5392 0.2500 0.6225
Ge 0.6724 0.0425 0.9601
Ge 0.6724 0.4575 0.9601
Ge 0.6945 0.7500 0.8643
Ge 0.8055 0.2500 0.3643
Ge 0.8276 0.5425 0.4601
Ge 0.8276 0.9575 0.4601
Ge 0.9608 0.7500 0.1225

**DFT formation energy**: -737 meV per atom

---

Entry from Alexandria: a relaxed Nd2GdGe crystal (GGA-PBE).

Lattice parameters (Å, degrees): 11.2447 11.2447 11.2447 19.02 19.02 19.02
Fractional coordinates of all 4 atoms:
Nd 0.1047 0.1047 0.1047
Nd 0.8953 0.8953 0.8953
Gd 0.0000 0.0000 0.0000
Ge 0.5000 0.5000 0.5000

**Excess energy over the best structure of this formula in the dataset**: 0.316 eV per atom
**DFT formation energy**: -34 meV per atom

---

Entry from Alexandria: a relaxed Nd2GdGe crystal (GGA-PBE).

Lattice parameters (Å, degrees): 4.8098 4.8098 4.7484 90.00 90.00 90.00
Fractional coordinates of all 4 atoms:
Nd 0.0000 0.5000 0.0000
Nd 0.5000 0.0000 0.0000
Gd 0.0000 0.0000 0.5000
Ge 0.5000 0.5000 0.5000

**Excess energy over the best structure of this formula in the dataset**: 0.000 eV per atom
**DFT formation energy**: -350 meV per atom

---

Entry from Alexandria: a relaxed Nd2GdGe crystal (GGA-PBE).

Lattice parameters (Å, degrees): 4.0151 4.0151 7.1087 90.00 90.00 90.00
Fractional coordinates of all 4 atoms:
Nd 0.0000 0.0000 0.2097
Nd 0.0000 0.0000 0.7903
Gd 0.5000 0.5000 0.5000
Ge 0.5000 0.5000 0.0000

**Excess energy over the best structure of this formula in the dataset**: 0.038 eV per atom
**DFT formation energy**: -312 meV per atom

---

Here are the calculated V numbers, same order: 97.5; 97.3; 83.6; 77.4; 991.0; 80.2; 91.9; 86.8; 83.8; 411.5; 103.2; 77.4; 101.8; 514.1; 100.3; 88.6; 696.4; 132.0; 109.9; 114.6 (Å³/cell).